Record 1
First-principles (PBE) data for a relaxed KMg2MnI8 crystal, as listed in Alexandria.

Output
**Total DFT energy (no corrections)**: -2.95 eV per atom
**ΔE_f (raw)**: -9.573 eV per formula unit
**Symmetry**: P-1

abc: 7.2180 7.2779 10.2845
angles: 83.35 89.38 70.69
Site moments in Bohr magnetons follow the coordinates.
Fractional positions:
K 0.0000 0.0000 0.5000  0.00
Mg 0.3690 0.3686 0.7833  0.00
Mg 0.6310 0.6314 0.2167  0.00
Mn 0.0000 0.0000 0.0000  3.84
I 0.2078 0.7430 0.2042  -0.04
I 0.7651 0.7796 0.9839  -0.03
I 0.7302 0.2345 0.1977  0.03
I 0.7922 0.2570 0.7958  -0.04
I 0.2349 0.2204 0.0161  -0.03
I 0.2698 0.7655 0.8023  0.03
I 0.6966 0.7023 0.4573  -0.02
I 0.3034 0.2977 0.5427  -0.02

Record 2
First-principles (PBE) data for a relaxed KNa2MgI6 crystal, as listed in Alexandria.

Output
**Total DFT energy (no corrections)**: -2.49 eV per atom
**ΔE_f (raw)**: -10.255 eV per formula unit
**Symmetry**: C2/c

abc: 8.8946 11.5109 11.5109
angles: 99.57 72.20 72.20
Site moments in Bohr magnetons follow the coordinates.
Fractional positions:
K 0.2500 0.8950 0.1050  0.00
K 0.7500 0.1050 0.8950  0.00
Na 0.3993 0.7271 0.5317  0.00
Na 0.1007 0.4683 0.2729  0.00
Na 0.6007 0.2729 0.4683  0.00
Na 0.8993 0.5317 0.7271  0.00
Mg 0.2500 0.1531 0.8469  0.00
Mg 0.7500 0.8469 0.1531  0.00
I 0.2027 0.9245 0.8057  0.01
I 0.2973 0.1943 0.0755  0.01
I 0.7973 0.0755 0.1943  0.01
I 0.7027 0.8057 0.9245  0.01
I 0.4464 0.8785 0.3356  0.00
I 0.0536 0.6644 0.1215  0.00
I 0.5536 0.1215 0.6644  0.00
I 0.9464 0.3356 0.8785  0.00
I 0.0656 0.6701 0.5392  0.31
I 0.4344 0.4608 0.3299  0.31
I 0.9344 0.3299 0.4608  0.31
I 0.5656 0.5392 0.6701  0.31

Record 3
First-principles (PBE) data for a relaxed KNaMg2I6 crystal, as listed in Alexandria.

Output
**Total DFT energy (no corrections)**: -2.63 eV per atom
**ΔE_f (raw)**: -11.376 eV per formula unit
**Symmetry**: C2/c

abc: 8.0312 10.7239 10.7239
angles: 88.42 82.23 82.23
Fractional positions:
K 0.2500 0.9010 0.0990
K 0.7500 0.0990 0.9010
Na 0.2500 0.2754 0.7246
Na 0.7500 0.7246 0.2754
Mg 0.2237 0.7804 0.6150
Mg 0.2763 0.3850 0.2196
Mg 0.7763 0.2196 0.3850
Mg 0.7237 0.6150 0.7804
I 0.1664 0.9746 0.7822
I 0.3336 0.2178 0.0254
I 0.8336 0.0254 0.2178
I 0.6664 0.7822 0.9746
I 0.3929 0.8515 0.3945
I 0.1071 0.6055 0.1485
I 0.6071 0.1485 0.6055
I 0.8929 0.3945 0.8515
I 0.9093 0.7136 0.5690
I 0.5907 0.4310 0.2864
I 0.0907 0.2864 0.4310
I 0.4093 0.5690 0.7136

Record 4
First-principles (PBE) data for a relaxed KMgNbI2 crystal, as listed in Alexandria.

Output
**Total DFT energy (no corrections)**: -2.23 eV per atom
**ΔE_f (raw)**: 4.701 eV per formula unit
**Symmetry**: P4/mmm

abc: 6.2573 6.1020 6.2573
angles: 90.00 90.00 90.00
Site moments in Bohr magnetons follow the coordinates.
Fractional positions:
I 0.0000 0.0000 0.5000  -0.04
I 0.5000 0.0000 0.0000  -0.02
Nb 0.5000 0.5000 0.5000  3.11
Mg 0.0000 0.5000 0.0000  -0.03
K 0.0000 0.0000 0.0000  0.00

Record 5
First-principles (PBE) data for a relaxed KNdMgI6 crystal, as listed in Alexandria.

Output
**Total DFT energy (no corrections)**: -3.16 eV per atom
**ΔE_f (raw)**: -11.651 eV per formula unit
**Symmetry**: P-31c

abc: 7.8722 7.8722 15.5827
angles: 90.00 90.00 120.00
Fractional positions:
K 0.0000 0.0000 0.0000
K 0.0000 0.0000 0.5000
Nd 0.3333 0.6667 0.2500
Nd 0.6667 0.3333 0.7500
Mg 0.6667 0.3333 0.2500
Mg 0.3333 0.6667 0.7500
I 0.6400 0.6232 0.1377
I 0.9833 0.3600 0.1377
I 0.3600 0.9833 0.6377
I 0.0167 0.6400 0.8623
I 0.3767 0.3600 0.3623
I 0.9833 0.6232 0.3623
I 0.6233 0.9833 0.8623
I 0.6400 0.0167 0.3623
I 0.0167 0.3767 0.6377
I 0.3767 0.0167 0.1377
I 0.6233 0.6400 0.6377
I 0.3600 0.3767 0.8623

Record 6
First-principles (PBE) data for a relaxed KMgNiI2 crystal, as listed in Alexandria.

Output
**Total DFT energy (no corrections)**: -2.66 eV per atom
**ΔE_f (raw)**: -1.711 eV per formula unit
**Symmetry**: P4/mmm

abc: 5.6497 4.8573 5.6497
angles: 90.00 90.00 90.00
Fractional positions:
I 0.0000 0.0000 0.5000
I 0.5000 0.0000 0.0000
Ni 0.0000 0.0000 0.0000
K 0.5000 0.5000 0.5000
Mg 0.0000 0.5000 0.0000

Record 7
First-principles (PBE) data for a relaxed KMgI2O crystal, as listed in Alexandria.

Output
**Total DFT energy (no corrections)**: -3.29 eV per atom
**ΔE_f (raw)**: -5.688 eV per formula unit
**Symmetry**: P4/mmm

abc: 6.2743 6.2743 3.8061
angles: 90.00 90.00 90.00
Site moments in Bohr magnetons follow the coordinates.
Fractional positions:
I 0.0000 0.5000 0.0000  0.08
I 0.5000 0.0000 0.0000  0.08
K 0.5000 0.5000 0.5000  0.00
Mg 0.0000 0.0000 0.0000  -0.01
O 0.0000 0.0000 0.5000  0.39

Record 8
First-principles (PBE) data for a relaxed K3Mg2IO6 crystal, as listed in Alexandria.

Output
**Total DFT energy (no corrections)**: -4.69 eV per atom
**ΔE_f (raw)**: -18.477 eV per formula unit
**Symmetry**: C2/m

abc: 5.6538 5.6538 6.4138
angles: 98.41 98.41 120.03
Fractional positions:
K 0.1707 0.8293 0.5000
K 0.8293 0.1707 0.5000
K 0.5000 0.5000 0.5000
Mg 0.3335 0.6665 0.0000
Mg 0.6665 0.3335 0.0000
I 0.0000 0.0000 0.0000
O 0.9397 0.6117 0.8200
O 0.7325 0.7325 0.1817
O 0.0603 0.3883 0.1800
O 0.6117 0.9397 0.8200
O 0.2675 0.2675 0.8183
O 0.3883 0.0603 0.1800

Record 9
First-principles (PBE) data for a relaxed KMgI2O crystal, as listed in Alexandria.

Output
**Total DFT energy (no corrections)**: -2.14 eV per atom
**ΔE_f (raw)**: 0.039 eV per formula unit
**Symmetry**: P4/mmm

abc: 6.3224 6.3224 4.6276
angles: 90.00 90.00 90.00
Site moments in Bohr magnetons follow the coordinates.
Fractional positions:
I 0.0000 0.5000 0.0000  0.03
I 0.5000 0.0000 0.0000  0.03
K 0.0000 0.0000 0.0000  0.04
Mg 0.5000 0.5000 0.5000  -0.01
O 0.0000 0.0000 0.5000  1.00

Record 10
First-principles (PBE) data for a relaxed KMgPd2I crystal, as listed in Alexandria.

Output
**Total DFT energy (no corrections)**: -2.14 eV per atom
**ΔE_f (raw)**: 3.952 eV per formula unit
**Symmetry**: P4/mmm

abc: 5.1537 6.0684 5.1537
angles: 90.00 90.00 90.00
Fractional positions:
I 0.0000 0.5000 0.0000
K 0.0000 0.0000 0.0000
Mg 0.5000 0.5000 0.5000
Pd 0.0000 0.0000 0.5000
Pd 0.5000 0.0000 0.0000

Record 11
First-principles (PBE) data for a relaxed KPrMgI6 crystal, as listed in Alexandria.

Output
**Total DFT energy (no corrections)**: -3.16 eV per atom
**ΔE_f (raw)**: -11.656 eV per formula unit
**Symmetry**: P-31c

abc: 7.9018 7.9018 15.5751
angles: 90.00 90.00 120.00
Fractional positions:
K 0.0000 0.0000 0.0000
K 0.0000 0.0000 0.5000
Pr 0.3333 0.6667 0.2500
Pr 0.6667 0.3333 0.7500
Mg 0.6667 0.3333 0.2500
Mg 0.3333 0.6667 0.7500
I 0.6410 0.6223 0.1373
I 0.9813 0.3590 0.1373
I 0.3590 0.9813 0.6373
I 0.0187 0.6410 0.8627
I 0.3777 0.3590 0.3627
I 0.9813 0.6223 0.3627
I 0.6223 0.9813 0.8627
I 0.6410 0.0187 0.3627
I 0.0187 0.3777 0.6373
I 0.3777 0.0187 0.1373
I 0.6223 0.6410 0.6373
I 0.3590 0.3777 0.8627

Record 12
First-principles (PBE) data for a relaxed KRb2Mg2I7 crystal, as listed in Alexandria.

Output
**Total DFT energy (no corrections)**: -2.63 eV per atom
**ΔE_f (raw)**: -14.544 eV per formula unit
**Symmetry**: C2/m

abc: 5.8800 5.8800 15.4734
angles: 79.07 79.07 90.01
Fractional positions:
K 0.0000 0.0000 0.0000
Rb 0.8216 0.8216 0.3570
Rb 0.1784 0.1784 0.6430
Mg 0.6010 0.6010 0.7985
Mg 0.3990 0.3990 0.2015
I 0.5000 0.5000 0.0000
I 0.3042 0.3042 0.3930
I 0.6958 0.6958 0.6070
I 0.9060 0.4062 0.1884
I 0.4062 0.9060 0.1884
I 0.5938 0.0940 0.8116
I 0.0940 0.5938 0.8116

Record 13
First-principles (PBE) data for a relaxed KRbMgI4 crystal, as listed in Alexandria.

Output
**Total DFT energy (no corrections)**: -2.71 eV per atom
**ΔE_f (raw)**: -9.106 eV per formula unit
**Symmetry**: P2_1/m

abc: 8.2770 8.3213 10.1072
angles: 90.00 107.81 90.00
Fractional positions:
K 0.7741 0.7500 0.4436
K 0.2259 0.2500 0.5564
Rb 0.7432 0.7500 0.9377
Rb 0.2568 0.2500 0.0623
Mg 0.2314 0.7500 0.3118
Mg 0.7686 0.2500 0.6882
I 0.9950 0.5025 0.7455
I 0.0050 0.0025 0.2545
I 0.0050 0.4975 0.2545
I 0.9950 0.9975 0.7455
I 0.4203 0.7500 0.1316
I 0.5797 0.2500 0.8684
I 0.4246 0.7500 0.5835
I 0.5754 0.2500 0.4165

Record 14
First-principles (PBE) data for a relaxed KMgRuI2 crystal, as listed in Alexandria.

Output
**Total DFT energy (no corrections)**: -2.00 eV per atom
**ΔE_f (raw)**: 5.084 eV per formula unit
**Symmetry**: P4/mmm

abc: 6.3692 6.1917 6.3692
angles: 90.00 90.00 90.00
Site moments in Bohr magnetons follow the coordinates.
Fractional positions:
I 0.0000 0.0000 0.5000  0.01
I 0.5000 0.0000 0.0000  0.01
Ru 0.5000 0.5000 0.5000  2.70
K 0.0000 0.0000 0.0000  0.00
Mg 0.0000 0.5000 0.0000  -0.01

Record 15
First-principles (PBE) data for a relaxed KMgScI6 crystal, as listed in Alexandria.

Output
**Total DFT energy (no corrections)**: -3.25 eV per atom
**ΔE_f (raw)**: -10.939 eV per formula unit
**Symmetry**: P-31c

abc: 7.5582 7.5582 15.7415
angles: 90.00 90.00 120.00
Fractional positions:
K 0.0000 0.0000 0.0000
K 0.0000 0.0000 0.5000
Mg 0.3333 0.6667 0.2500
Mg 0.6667 0.3333 0.7500
Sc 0.6667 0.3333 0.2500
Sc 0.3333 0.6667 0.7500
I 0.6324 0.6288 0.1432
I 0.9965 0.3676 0.1432
I 0.3676 0.9965 0.6432
I 0.0035 0.6324 0.8568
I 0.3712 0.3676 0.3568
I 0.9965 0.6288 0.3568
I 0.6288 0.9965 0.8568
I 0.6324 0.0035 0.3568
I 0.0035 0.3712 0.6432
I 0.3712 0.0035 0.1432
I 0.6288 0.6324 0.6432
I 0.3676 0.3712 0.8568

Record 16
First-principles (PBE) data for a relaxed KMgSiI2 crystal, as listed in Alexandria.

Output
**Total DFT energy (no corrections)**: -2.15 eV per atom
**ΔE_f (raw)**: 0.474 eV per formula unit
**Symmetry**: P4/mmm

abc: 5.7636 6.4692 5.7636
angles: 90.00 90.00 90.00
Fractional positions:
I 0.0000 0.0000 0.5000
I 0.5000 0.0000 0.0000
K 0.0000 0.5000 0.0000
Mg 0.5000 0.5000 0.5000
Si 0.0000 0.0000 0.0000

Record 17
First-principles (PBE) data for a relaxed K2MgSnI6 crystal, as listed in Alexandria.

Output
**Total DFT energy (no corrections)**: -2.74 eV per atom
**ΔE_f (raw)**: -10.309 eV per formula unit
**Symmetry**: P2_1/c

abc: 8.1419 8.5700 11.7510
angles: 90.00 89.99 90.00
Fractional positions:
K 0.0316 0.9129 0.2520
K 0.5316 0.5871 0.7520
K 0.9684 0.0871 0.7480
K 0.4684 0.4129 0.2480
Mg 0.5000 0.0000 0.0000
Mg 0.0000 0.5000 0.5000
Sn 0.5000 0.0000 0.5000
Sn 0.0000 0.5000 0.0000
I 0.3202 0.7051 0.0540
I 0.8202 0.7949 0.5540
I 0.6798 0.2949 0.9460
I 0.1798 0.2051 0.4460
I 0.2991 0.6851 0.4469
I 0.7991 0.8149 0.9469
I 0.7009 0.3149 0.5531
I 0.2009 0.1851 0.0531
I 0.8902 0.5220 0.2611
I 0.3902 0.9780 0.7611
I 0.1098 0.4780 0.7389
I 0.6098 0.0220 0.2389

Record 18
First-principles (PBE) data for a relaxed KMgTa2I crystal, as listed in Alexandria.

Output
**Total DFT energy (no corrections)**: -3.83 eV per atom
**ΔE_f (raw)**: 8.813 eV per formula unit
**Symmetry**: P4/mmm

abc: 5.1684 6.2800 5.1684
angles: 90.00 90.00 90.00
Site moments in Bohr magnetons follow the coordinates.
Fractional positions:
I 0.0000 0.5000 0.0000  0.07
K 0.5000 0.5000 0.5000  0.02
Mg 0.0000 0.0000 0.0000  0.01
Ta 0.0000 0.0000 0.5000  1.23
Ta 0.5000 0.0000 0.0000  1.16

Record 19
First-principles (PBE) data for a relaxed KMg2TeI crystal, as listed in Alexandria.

Output
**Total DFT energy (no corrections)**: -1.83 eV per atom
**ΔE_f (raw)**: -0.186 eV per formula unit
**Symmetry**: P4/mmm

abc: 5.7651 6.2902 5.7651
angles: 90.00 90.00 90.00
Fractional positions:
I 0.0000 0.0000 0.0000
K 0.0000 0.5000 0.0000
Te 0.5000 0.5000 0.5000
Mg 0.0000 0.0000 0.5000
Mg 0.5000 0.0000 0.0000

Record 20
First-principles (PBE) data for a relaxed KMgTe2I crystal, as listed in Alexandria.

Output
**Total DFT energy (no corrections)**: -2.66 eV per atom
**ΔE_f (raw)**: -2.768 eV per formula unit
**Symmetry**: P4/mmm

abc: 5.5327 5.5327 6.1904
angles: 90.00 90.00 90.00
Fractional positions:
I 0.0000 0.0000 0.5000
K 0.5000 0.5000 0.5000
Te 0.0000 0.5000 0.0000
Te 0.5000 0.0000 0.0000
Mg 0.0000 0.0000 0.0000

Record 21
First-principles (PBE) data for a relaxed K2MgTeI crystal, as listed in Alexandria.

Output
**Total DFT energy (no corrections)**: -1.90 eV per atom
**ΔE_f (raw)**: -1.041 eV per formula unit
**Symmetry**: P4/mmm

abc: 6.7993 5.4029 6.7993
angles: 90.00 90.00 90.00
Fractional positions:
I 0.0000 0.5000 0.0000
K 0.0000 0.0000 0.5000
K 0.5000 0.0000 0.0000
Te 0.5000 0.5000 0.5000
Mg 0.0000 0.0000 0.0000

Record 22
First-principles (PBE) data for a relaxed K2MgTeI crystal, as listed in Alexandria.

Output
**Total DFT energy (no corrections)**: -2.14 eV per atom
**ΔE_f (raw)**: -2.233 eV per formula unit
**Symmetry**: P4/mmm

abc: 6.3968 5.7732 6.3968
angles: 90.00 90.00 90.00
Fractional positions:
I 0.0000 0.0000 0.0000
K 0.0000 0.0000 0.5000
K 0.5000 0.0000 0.0000
Te 0.5000 0.5000 0.5000
Mg 0.0000 0.5000 0.0000